# NdTiNbBi2O9 | Alexandria | PBE | optimized geometry
# Total magnetization ... 0.00 μB/f.u.
# V ... 387 Å³ per cell
# Formation energy from raw total energies ... -2.410 eV per atom
data_NdTiNbBi2O9
_cell_length_a 5.486
_cell_length_b 5.534
_cell_length_c 13.009
_cell_angle_alpha 90.00
_cell_angle_beta 101.72
_cell_angle_gamma 90.00
_symmetry_space_group_name_H-M 'P 1 21 1'
_symmetry_Int_Tables_number 4
_symmetry_space_group_name_Hall 'P 2yb'
loop_
_atom_site_label
_atom_site_type_symbol
_atom_site_fract_x
_atom_site_fract_y
_atom_site_fract_z
Nd1 Nd 0.244 0.000 0.000
Ti1 Ti 0.332 0.527 0.170
Nb1 Nb 0.176 0.531 0.831
Bi1 Bi 0.020 0.947 0.601
Bi2 Bi 0.424 0.938 0.398
O1 O 0.018 0.539 0.688
O2 O 0.027 0.771 0.122
O3 O 0.093 0.273 0.123
O4 O 0.239 0.718 0.501
O5 O 0.262 0.218 0.502
O6 O 0.321 0.546 0.307
O7 O 0.329 0.567 0.999
O8 O 0.371 0.847 0.828
O9 O 0.468 0.342 0.828